{
  "formula": "Ca2ZrCd",
  "functional": "PBE-GGA",
  "state": "relaxed",
  "cell": [[5.666, 0.000, 0.000], [0.000, 5.666, 0.000], [0.000, 0.000, 3.636]],
  "species": ["Ca", "Ca", "Zr", "Cd"],
  "fractional_positions": [[0.000, 0.500, 0.000], [0.500, 0.000, 0.000], [0.000, 0.000, 0.500], [0.500, 0.500, 0.500]],
  "energy_ev_per_cell": -12.6
}

***

{
  "formula": "CsLiBr2",
  "functional": "PBE-GGA",
  "state": "relaxed",
  "cell": [[7.099, -2.213, 0.000], [7.099, 2.213, 0.000], [-0.087, 0.000, 4.719]],
  "species": ["Cs", "Li", "Br", "Br"],
  "fractional_positions": [[0.000, 0.000, 0.000], [0.774, 0.774, 0.487], [0.382, 0.382, 0.494], [0.699, 0.699, 0.983]],
  "raw_formation_energy_kj_per_mol_atoms": -155.09
}

***

{
  "formula": "DyLu2Th",
  "functional": "PBE-GGA",
  "state": "relaxed",
  "cell": [[3.522, 0.000, 0.000], [0.000, 3.522, 0.000], [0.000, 0.000, 9.915]],
  "species": ["Dy", "Lu", "Lu", "Th"],
  "fractional_positions": [[0.000, 0.000, 0.000], [0.500, 0.500, 0.253], [0.500, 0.500, 0.747], [0.000, 0.000, 0.500]],
  "energy_ev_per_cell": -21.0
}